BaYF3: optimized geometry, PBE.

Results
Magnetic moment = 1.52 μB/f.u.
V = 129 Å³/f.u.
Electronic total energy = -5.155 eV/atom

Cell lengths 5.056, 5.056, 5.056 Å; angles 90.00, 90.00, 90.00 degrees
Space group Pm-3m (No. 221)
Symmetry-distinct sites (fractional):
1 Ba 0.000 0.000 0.000 [1 per cell]
2 Y 0.500 0.500 0.500 [1 per cell]
3 F 0.000 0.000 0.500 [3 per cell]

Ba3YF: optimized geometry, PBE.

Results
Magnetic moment = 3.42 μB/f.u.
V = 308 Å³/f.u.
Electronic total energy = -2.676 eV/atom

Cell lengths 6.754, 6.754, 6.754 Å; angles 90.00, 90.00, 90.00 degrees
Space group Pm-3m (No. 221)
Symmetry-distinct sites (fractional):
1 Ba 0.000 0.000 0.500 [3 per cell]
2 Y 0.000 0.000 0.000 [1 per cell]
3 F 0.500 0.500 0.500 [1 per cell]

BaY2F: optimized geometry, PBE.

Results
Magnetic moment = 0.00 μB/f.u.
V = 141 Å³/f.u.
Electronic total energy = -5.206 eV/atom

Cell lengths 7.511, 7.511, 9.962 Å; angles 90.00, 90.00, 90.00 degrees
Space group I-42d (No. 122)
Symmetry-distinct sites (fractional):
1 Ba 0.000 0.000 0.000 [4 per cell]
2 Y 0.062 0.750 0.625 [8 per cell]
3 F 0.000 0.000 0.500 [4 per cell]

Ba2YF7: optimized geometry, PBE.

Results
Magnetic moment = 0.19 μB/f.u.
V = 207 Å³/f.u.
Electronic total energy = -6.282 eV/atom

Cell lengths 9.016, 8.095, 11.363 Å; angles 90.00, 90.00, 90.00 degrees
Space group Pnma (No. 62)
Symmetry-distinct sites (fractional):
1 Ba 0.109 0.250 0.243 [4 per cell]
2 Ba 0.192 0.750 0.396 [4 per cell]
3 Y 0.184 0.750 0.055 [4 per cell]
4 F 0.046 0.250 0.013 [4 per cell]
5 F 0.090 0.250 0.617 [4 per cell]
6 F 0.130 0.571 0.193 [8 per cell]
7 F 0.134 0.750 0.629 [4 per cell]
8 F 0.247 0.573 0.914 [8 per cell]

BaYF5: optimized geometry, PBE.

Results
Magnetic moment = 0.00 μB/f.u.
V = 109 Å³/f.u.
Electronic total energy = -6.576 eV/atom

Cell lengths 4.468, 16.405, 5.972 Å; angles 90.00, 92.80, 90.00 degrees
Space group C2/c (No. 15)
Symmetry-distinct sites (fractional):
1 Ba 0.000 0.173 0.250 [4 per cell]
2 Y 0.000 0.426 0.250 [4 per cell]
3 F 0.000 0.116 0.750 [4 per cell]
4 F 0.012 0.317 0.012 [8 per cell]
5 F 0.224 0.465 0.595 [8 per cell]

BaYF5: optimized geometry, PBE.

Results
Magnetic moment = 0.07 μB/f.u.
V = 103 Å³/f.u.
Electronic total energy = -6.536 eV/atom

Cell lengths 3.905, 3.905, 6.759 Å; angles 90.00, 90.00, 90.00 degrees
Space group P4/mmm (No. 123)
Symmetry-distinct sites (fractional):
1 Ba 0.000 0.000 0.000 [1 per cell]
2 Y 0.500 0.500 0.500 [1 per cell]
3 F 0.000 0.500 0.315 [4 per cell]
4 F 0.500 0.500 0.000 [1 per cell]

Q: magnetic moment of number 5 (BaYF5)?
A: 0.00 μB/f.u.

Repeat the fourth record exactly.
Ba2YF7: optimized geometry, PBE.

Results
Magnetic moment = 0.19 μB/f.u.
V = 207 Å³/f.u.
Electronic total energy = -6.282 eV/atom

Cell lengths 9.016, 8.095, 11.363 Å; angles 90.00, 90.00, 90.00 degrees
Space group Pnma (No. 62)
Symmetry-distinct sites (fractional):
1 Ba 0.109 0.250 0.243 [4 per cell]
2 Ba 0.192 0.750 0.396 [4 per cell]
3 Y 0.184 0.750 0.055 [4 per cell]
4 F 0.046 0.250 0.013 [4 per cell]
5 F 0.090 0.250 0.617 [4 per cell]
6 F 0.130 0.571 0.193 [8 per cell]
7 F 0.134 0.750 0.629 [4 per cell]
8 F 0.247 0.573 0.914 [8 per cell]